Record 1
Here is CdPt2Pb at its PBEsol-relaxed geometry from the Alexandria database. Energies are from SCAN.

a = 3.5747 Å, b = 4.1850 Å, c = 5.4730 Å
α = 90.00°, β = 109.06°, γ = 90.00°
Element x y z (fractional)
Pb: 0.3996 0.5000 0.7992
Pt: 0.8274 0.0000 0.6548
Cd: 0.1027 0.0000 0.2054
Pt: 0.6627 0.5000 0.3255

Summary:
energy above the most stable polymorph in this dataset: 0.0 meV/atom
final energy: -61.81 eV per atom
space-group type: Amm2 (38)
formation enthalpy at 0 K: -164.7 meV per atom



Record 2
Here is Pm2ZnGa at its PBEsol-relaxed geometry from the Alexandria database. Energies are from SCAN.

a = 5.0928 Å, b = 5.0928 Å, c = 5.0928 Å
α = 60.00°, β = 60.00°, γ = 60.00°
Element x y z (fractional)
Pm: 0.7500 0.7500 0.7500
Zn: 0.0000 0.0000 0.0000
Ga: 0.5000 0.5000 0.5000
Pm: 0.2500 0.2500 0.2500

Summary:
final energy: -29.99 eV per atom
space-group type: Fm-3m (225)
formation enthalpy at 0 K: -534.8 meV per atom



Record 3
Here is In at its PBEsol-relaxed geometry from the Alexandria database. Energies are from SCAN.

a = 3.3255 Å, b = 3.3255 Å, c = 5.3056 Å
α = 90.00°, β = 90.00°, γ = 120.00°
Element x y z (fractional)
In: 0.3333 0.6667 0.2500
In: 0.6667 0.3333 0.7500

Summary:
energy above the most stable polymorph in this dataset: 85.3 meV/atom
final energy: -33.30 eV per atom
space-group type: P6_3/mmc (194)
formation enthalpy at 0 K: 85.3 meV per atom



Record 4
Here is IrRu at its PBEsol-relaxed geometry from the Alexandria database. Energies are from SCAN.

a = 2.6843 Å, b = 2.6843 Å, c = 4.6513 Å
α = 73.23°, β = 73.23°, γ = 60.00°
Element x y z (fractional)
Ir: 0.0000 0.0000 0.0000
Ru: 0.5000 0.5000 0.5000

Summary:
energy above the most stable polymorph in this dataset: 44.9 meV/atom
final energy: -52.99 eV per atom
space-group type: R-3m (166)
formation enthalpy at 0 K: -29.6 meV per atom



Record 5
Here is TaFeHg at its PBEsol-relaxed geometry from the Alexandria database. Energies are from SCAN.

a = 3.0484 Å, b = 3.0484 Å, c = 6.2768 Å
α = 90.00°, β = 90.00°, γ = 120.00°
Each line ends with the local moment (μB).
Element x y z (fractional)
Fe: 0.0000 0.0000 0.0288  2.16
Hg: 0.3333 0.6667 0.6813  -0.01
Ta: 0.6667 0.3333 0.2899  -0.42

Summary:
final energy: -50.60 eV per atom
space-group type: P3m1 (156)
formation enthalpy at 0 K: 355.2 meV per atom



Record 6
Here is YCuW at its PBEsol-relaxed geometry from the Alexandria database. Energies are from SCAN.

a = 2.9965 Å, b = 3.4543 Å, c = 5.6937 Å
α = 107.66°, β = 105.26°, γ = 90.00°
Element x y z (fractional)
Cu: 0.0269 0.0269 0.0538
W: 0.6378 0.6378 0.2757
Y: 0.3353 0.3353 0.6705

Summary:
final energy: -37.10 eV per atom
space-group type: Imm2 (44)
formation enthalpy at 0 K: 472.5 meV per atom



Record 7
Here is Na4CoMo3O12 at its PBEsol-relaxed geometry from the Alexandria database. Energies are from SCAN.

a = 7.1100 Å, b = 9.1556 Å, c = 9.1556 Å
α = 94.17°, β = 104.73°, γ = 104.73°
Each line ends with the local moment (μB).
Element x y z (fractional)
O: 0.3232 0.6417 0.6308  0.01
O: 0.0750 0.0358 0.2076  0.01
Co: 0.1196 0.4496 0.1186  2.63
O: 0.1452 0.8701 0.5000  0.02
Mo: 0.0000 0.2128 0.7872  0.03
O: 0.9250 0.7924 0.9642  0.01
Na: 0.2485 0.0001 0.0090  0.00
O: 0.1073 0.3464 0.3177  0.02
O: 0.5805 0.8908 0.5440  0.02
O: 0.4676 0.9581 0.2399  0.01
O: 0.2691 0.6493 0.2425  0.03
Mo: 0.8824 0.6277 0.8362  0.03
O: 0.5324 0.7601 0.0419  0.01
O: 0.8927 0.6823 0.6536  0.02
O: 0.0727 0.5357 0.9093  0.02
Na: 0.3785 0.5568 0.8664  0.00
O: 0.7848 0.2581 0.6827  0.01
Na: 0.5000 0.4827 0.5173  0.00
O: 0.0179 0.2476 0.9864  0.03
O: 0.4343 0.9498 0.7981  0.01
Co: 0.8804 0.8814 0.5504  2.63
Na: 0.7515 0.9910 0.9999  0.00
Na: 0.0000 0.7681 0.2319  0.00
Na: 0.6215 0.1336 0.4432  0.00
O: 0.3606 0.1974 0.4986  0.00
O: 0.8548 0.5000 0.1299  0.02
O: 0.4195 0.4560 0.1092  0.02
Mo: 0.3692 0.8389 0.6182  0.03
O: 0.2152 0.3173 0.7419  0.01
O: 0.7309 0.7575 0.3507  0.03
O: 0.9274 0.0907 0.4643  0.02
Na: 0.5000 0.2292 0.7708  0.00
Na: 0.0000 0.4830 0.5170  0.00
O: 0.6394 0.5014 0.8026  0.00
O: 0.9821 0.0136 0.7524  0.03
Mo: 0.6308 0.3818 0.1611  0.03
O: 0.5657 0.2019 0.0502  0.01
Mo: 0.1176 0.1638 0.3723  0.03
Mo: 0.5000 0.7764 0.2236  0.04
O: 0.6768 0.3692 0.3583  0.01

Summary:
ΔE_f (raw): -2.12 eV per atom
final energy: -12.80 eV per atom
space-group type: C2 (5)



Record 8
Here is ScSbAu2 at its PBEsol-relaxed geometry from the Alexandria database. Energies are from SCAN.

a = 4.1359 Å, b = 4.1359 Å, c = 4.4774 Å
α = 90.00°, β = 90.00°, γ = 90.00°
Element x y z (fractional)
Au: 0.5000 0.0000 0.0000
Sb: 0.5000 0.5000 0.5000
Au: 0.0000 0.5000 0.0000
Sc: 0.0000 0.0000 0.5000

Summary:
ΔE_f (raw): -0.60 eV per atom
final energy: -48.05 eV per atom
space-group type: P4/mmm (123)